Here is a geometry-optimized LaPr2In3 structure from the Alexandria database. Energies are from GGA-PBE.

Lattice parameters (Å, degrees): 5.5419 16.6309 7.8434 90.00 90.00 90.00
Closest atoms and distances in Å follow each position.
Space group Cmmm (No. 65)
Unique sites:
La  0.0000  0.1666  0.0000  8 In 3.41-3.43
Pr  0.0000  0.1681  0.5000  8 In 3.38-3.39
Pr  0.0000  0.5000  0.0000  8 In 3.39-3.41
Pr  0.0000  0.5000  0.5000  8 In 3.36-3.37
In  0.0000  0.0000  0.2545  6 Pr 3.37-3.41, 2 La 3.42
In  0.0000  0.3349  0.2537  5 Pr 3.36-3.39, 3 La 3.41-3.43

Values from the calculation:
calculated volume	30.12	Å³/atom

=====

Here is a geometry-optimized La6Pr2In structure from the Alexandria database. Energies are from GGA-PBE.

Lattice parameters (Å, degrees): 21.3809 9.4223 6.5453 90.00 107.74 90.00
Closest atoms and distances in Å follow each position.
Space group C2/c (No. 15)
Unique sites:
La  0.0765  0.0727  0.2179  6 La 3.42-3.63, 2 In 3.43-3.49, 1 Pr 3.76
La  0.0766  0.4274  0.4339  6 La 3.42-3.63, 2 In 3.44-3.49, 1 Pr 3.76
La  0.1668  0.2506  0.9170  5 La 3.39-3.63, 1 In 3.40, 4 Pr 3.56-3.58
Pr  0.2496  0.0761  0.5881  3 Pr 3.48-3.57, 6 La 3.56-3.76
In  0.0000  0.2500  0.7500  10 La 3.40-3.49

Values from the calculation:
calculated volume	34.89	Å³/atom
offset from the most stable computed form	3	meV per atom

=====

Here is a geometry-optimized La5Pr4In4 structure from the Alexandria database. Energies are from GGA-PBE.

Lattice parameters (Å, degrees): 12.7740 12.7740 5.3059 90.00 90.00 90.00
Closest atoms and distances in Å follow each position.
Space group I4/m (No. 87)
Unique sites:
La  0.0000  0.0000  0.0000  4 In 3.29
La  0.0954  0.1919  0.5000  3 In 3.33, 2 Pr 3.60
Pr  0.0929  0.3822  0.0000  3 In 3.25-3.47, 2 La 3.60
In  0.1124  0.7680  0.0000  3 Pr 3.25-3.47, 4 La 3.29-3.33

Values from the calculation:
calculated volume	33.30	Å³/atom

=====

Ordered ΔE_f results: -0.50 -0.08 -0.32; unit eV per atom.
Ordered mass density results: 7.03 6.51 6.59; unit g/cm³.
Ordered total moment results: 0.000 0.000 0.000; unit μB/f.u..